Below is a relaxed LiZr2Ir crystal, with properties calculated at the PBE level.

Output
* symmetry: Imm2, No. 44
* total magnetization: 0.0 μB per formula unit
* N(E_F): 3.517 states/eV per cell
* E_form: -6.9 kcal/mol of atoms
* volume: 18.67 Å³ per atom

Unit cell a=5.6498 b=5.6498 c=5.6498 alpha=145.46 beta=132.50 gamma=60.05
Positions (direct):
1 Li 0.0000 0.0000 0.0000
2 Zr 0.4425 0.4425 0.0000
3 Zr 0.7154 0.2154 0.5000
4 Ir 0.2218 0.7218 0.5000